Entry 1:
This record from Alexandria describes crystalline PmPu2H at its relaxed geometry. The functional is PBE.

Values from the calculation:
* M_tot: 11.87 μB per formula unit

Cell and atoms, written as CIF:
```
data_PmPu2H
_cell_length_a 3.216
_cell_length_b 3.216
_cell_length_c 8.671
_cell_angle_alpha 90.00
_cell_angle_beta 90.00
_cell_angle_gamma 90.00
_space_group_name_H-M_alt 'P 4/m m m'
_space_group_IT_number 123
_space_group_name_Hall '-P 4 2'
loop_
_atom_site_label
_atom_site_type_symbol
_atom_site_fract_x
_atom_site_fract_y
_atom_site_fract_z
_atom_site_occupancy
Pm1 Pm 0.000 0.000 0.000 1
Pu1 Pu 0.500 0.500 0.327 1
H1 H 0.000 0.000 0.500 1
```



Entry 2:
This record from Alexandria describes crystalline MgTaCuOs at its relaxed geometry. The functional is PBE.

Values from the calculation:
* M_tot: 0.00 μB per formula unit

Cell and atoms, written as CIF:
```
data_MgTaCuOs
_cell_length_a 6.275
_cell_length_b 6.275
_cell_length_c 6.275
_cell_angle_alpha 90.00
_cell_angle_beta 90.00
_cell_angle_gamma 90.00
_space_group_name_H-M_alt 'F -4 3 m'
_space_group_IT_number 216
_space_group_name_Hall 'F -4 2 3'
loop_
_atom_site_label
_atom_site_type_symbol
_atom_site_fract_x
_atom_site_fract_y
_atom_site_fract_z
_atom_site_occupancy
Mg1 Mg 0.000 0.000 0.000 1
Ta1 Ta 0.000 0.000 0.500 1
Cu1 Cu 0.250 0.250 0.750 1
Os1 Os 0.250 0.250 0.250 1
```



Entry 3:
This record from Alexandria describes crystalline PrYZnSn at its relaxed geometry. The functional is PBE.

Values from the calculation:
* M_tot: 0.00 μB per formula unit

Cell and atoms, written as CIF:
```
data_PrYZnSn
_cell_length_a 7.488
_cell_length_b 7.488
_cell_length_c 7.488
_cell_angle_alpha 90.00
_cell_angle_beta 90.00
_cell_angle_gamma 90.00
_space_group_name_H-M_alt 'F -4 3 m'
_space_group_IT_number 216
_space_group_name_Hall 'F -4 2 3'
loop_
_atom_site_label
_atom_site_type_symbol
_atom_site_fract_x
_atom_site_fract_y
_atom_site_fract_z
_atom_site_occupancy
Pr1 Pr 0.000 0.000 0.000 1
Y1 Y 0.000 0.000 0.500 1
Zn1 Zn 0.250 0.250 0.750 1
Sn1 Sn 0.250 0.250 0.250 1
```



Entry 4:
This record from Alexandria describes crystalline Ac6Nd2Sm at its relaxed geometry. The functional is PBE.

Values from the calculation:
* M_tot: 0.00 μB per formula unit
* energy above the most stable polymorph in this dataset: 0 meV per atom

Cell and atoms, written as CIF:
```
data_Ac6Nd2Sm
_cell_length_a 15.318
_cell_length_b 12.658
_cell_length_c 7.856
_cell_angle_alpha 90.00
_cell_angle_beta 90.15
_cell_angle_gamma 90.00
_space_group_name_H-M_alt 'C 1 2/c 1'
_space_group_IT_number 15
loop_
_space_group_symop_operation_xyz
'x,y,z'
'-x,-y,-z'
'-x,y,-z+1/2'
'x,-y,z+1/2'
'x+1/2,y+1/2,z'
'-x+1/2,-y+1/2,-z'
'-x+1/2,y+1/2,-z+1/2'
'x+1/2,-y+1/2,z+1/2'
loop_
_atom_site_label
_atom_site_type_symbol
_atom_site_fract_x
_atom_site_fract_y
_atom_site_fract_z
_atom_site_occupancy
Ac1 Ac 0.102 0.003 0.131 1
Ac2 Ac 0.118 0.269 0.390 1
Ac3 Ac 0.141 0.254 0.880 1
Nd1 Nd 0.200 0.496 0.108 1
Sm1 Sm 0.000 0.476 0.750 1
```



Entry 5:
This record from Alexandria describes crystalline Ti2HIrW at its relaxed geometry. The functional is PBE.

Values from the calculation:
* M_tot: 0.00 μB per formula unit
* energy above the most stable polymorph in this dataset: 11 meV per atom

Cell and atoms, written as CIF:
```
data_Ti2HIrW
_cell_length_a 4.320
_cell_length_b 4.320
_cell_length_c 3.477
_cell_angle_alpha 90.00
_cell_angle_beta 90.00
_cell_angle_gamma 90.00
_space_group_name_H-M_alt 'P 4/m m m'
_space_group_IT_number 123
_space_group_name_Hall '-P 4 2'
loop_
_atom_site_label
_atom_site_type_symbol
_atom_site_fract_x
_atom_site_fract_y
_atom_site_fract_z
_atom_site_occupancy
Ti1 Ti 0.000 0.500 0.000 1
H1 H 0.000 0.000 0.000 1
Ir1 Ir 0.000 0.000 0.500 1
W1 W 0.500 0.500 0.500 1
```



Entry 6:
This record from Alexandria describes crystalline CaPd at its relaxed geometry. The functional is PBE.

Values from the calculation:
* M_tot: 0.00 μB per formula unit

Cell and atoms, written as CIF:
```
data_CaPd
_cell_length_a 5.838
_cell_length_b 5.838
_cell_length_c 5.792
_cell_angle_alpha 90.00
_cell_angle_beta 90.00
_cell_angle_gamma 90.00
_space_group_name_H-M_alt 'P 42/m n m'
_space_group_IT_number 136
_space_group_name_Hall '-P 4n 2n'
loop_
_atom_site_label
_atom_site_type_symbol
_atom_site_fract_x
_atom_site_fract_y
_atom_site_fract_z
_atom_site_occupancy
Ca1 Ca 0.204 0.204 0.000 1
Pd1 Pd 0.180 0.180 0.500 1
```



Entry 7:
This record from Alexandria describes crystalline PrSc6S8 at its relaxed geometry. The functional is PBE.

Values from the calculation:
* energy relative to the elements, uncorrected: -1674 meV per atom
* M_tot: 0.62 μB per formula unit

Cell and atoms, written as CIF:
```
data_PrSc6S8
_cell_length_a 9.9565
_cell_length_b 9.9565
_cell_length_c 11.9012
_cell_angle_alpha 90.00
_cell_angle_beta 90.00
_cell_angle_gamma 120.00
_space_group_name_H-M_alt 'R -3'
_space_group_IT_number 148
_space_group_name_Hall '-R 3'
loop_
_atom_site_label
_atom_site_type_symbol
_atom_site_fract_x
_atom_site_fract_y
_atom_site_fract_z
_atom_site_occupancy
Pr1 Pr 0.0000 0.0000 0.0000 1
Sc1 Sc 0.0141 0.8171 0.3880 1
S1 S 0.0000 0.0000 0.2444 1
S2 S 0.0159 0.6262 0.2529 1
```



Entry 8:
This record from Alexandria describes crystalline POs at its relaxed geometry. The functional is PBE.

Values from the calculation:
* M_tot: 0.00 μB per formula unit

Cell and atoms, written as CIF:
```
data_POs
_cell_length_a 2.9674
_cell_length_b 2.9674
_cell_length_c 22.1832
_cell_angle_alpha 90.00
_cell_angle_beta 90.00
_cell_angle_gamma 120.00
_space_group_name_H-M_alt 'R -3 m'
_space_group_IT_number 166
_space_group_name_Hall '-R 3 2"'
loop_
_atom_site_label
_atom_site_type_symbol
_atom_site_fract_x
_atom_site_fract_y
_atom_site_fract_z
_atom_site_occupancy
P1 P 0.0000 0.0000 0.1246 1
Os1 Os 0.0000 0.0000 0.3866 1
```



| no. | VASP energy (eV/f.u.) |
| --- | --- |
| 1 | -35.99 |
| 2 | -28.99 |
| 3 | -18.60 |
| 4 | -37.61 |
| 5 | -42.65 |
| 6 | -8.15 |
| 7 | -100.90 |
| 8 | -16.51 |